No. 1
Rb2Na15Sr2 PBE relaxed; energy relative to the elements = 0.0328 eV per atom; E = -24.46 eV/f.u.; N(E_F) = 0.49 states/eV/atom
1.0
9.5958 0.0265 0.0236
1.2712 9.5113 0.0236
1.2712 1.1157 9.4456
Rb Na Sr
2 15 2
Direct
0.3471 0.3471 0.3471
0.6529 0.6529 0.6529
0.5000 0.0000 0.0000
0.0000 0.0000 0.5000
0.0000 0.5000 0.0000
0.0000 0.7104 0.2896
0.7104 0.2896 0.0000
0.2896 0.0000 0.7104
0.2896 0.7104 0.0000
0.7104 0.0000 0.2896
0.0000 0.2896 0.7104
0.1512 0.6478 0.6478
0.6478 0.6478 0.1512
0.6478 0.1512 0.6478
0.8488 0.3522 0.3522
0.3522 0.3522 0.8488
0.3522 0.8488 0.3522
0.1050 0.1050 0.1050
0.8950 0.8950 0.8950

No. 2
Ac3Sb2Rh7 PBE relaxed; E = -77.67 eV/f.u.; N(E_F) = 0.46 states/eV/atom
1.0
-2.0959 -3.5995 0.2872
3.6077 -2.1673 -0.8351
1.2597 0.4776 15.1805
Ac Sb Rh
3 2 7
Direct
0.5000 0.5000 0.0000
0.5000 0.7027 0.4040
0.5000 0.2973 0.5960
0.0000 0.9145 0.8295
0.0000 0.0855 0.1705
0.0000 0.3665 0.7338
0.0000 0.7897 0.5803
0.0000 0.0000 0.0000
0.0000 0.6335 0.2662
0.5000 0.1361 0.2701
0.5000 0.8639 0.7299
0.0000 0.2103 0.4197

No. 3
Na2Sb3Au5 PBE relaxed; E = -33.38 eV/f.u.; N(E_F) = 0.33 states/eV/atom
1.0
7.1601 0.0000 0.0000
3.5800 8.3198 -0.6073
3.5800 0.6833 8.3139
Na Sb Au
4 6 10
Direct
0.1303 0.5887 0.1507
0.6303 0.1507 0.5887
0.8697 0.4113 0.8493
0.3697 0.8493 0.4113
0.3663 0.5051 0.7622
0.8663 0.7622 0.5051
0.6337 0.4949 0.2378
0.1337 0.2378 0.4949
0.2500 0.0000 0.0000
0.7500 0.0000 0.0000
0.3911 0.2557 0.9621
0.8911 0.9621 0.2557
0.6089 0.7443 0.0379
0.1089 0.0379 0.7443
0.4938 0.7562 0.7562
0.5062 0.2438 0.2438
0.7500 0.5000 0.5000
0.2500 0.5000 0.5000
0.0062 0.2438 0.2438
0.9938 0.7562 0.7562